Below is BeGaNiIr after structural relaxation, with properties calculated at the PBE level.

a = 2.904 Å, b = 2.904 Å, c = 5.589 Å
α = 90.00°, β = 90.00°, γ = 90.00°
Fractional positions:
Ga1 0.500 0.500 0.121
Be1 0.500 0.500 0.605
Ir1 0.000 0.000 0.833
Ni1 0.000 0.000 0.368

Output
Space-group type: P4mm
DOS(E_F), states/eV per atom: 0.222
E, eV/atom: -5.8019
Distance to the lowest polymorph of the same formula, meV per atom: 0
Formation energy from the elements, meV/atom: -453